Record 1
{"formula": "DyThAl", "functional": "PBE-GGA", "state": "optimized geometry", "lattice_angstrom": [[-0.455, -4.342, 2.001], [4.633, 0.095, 1.262], [-1.845, 3.203, 6.532]], "species": ["Th", "Al", "Al", "Dy", "Dy", "Th"], "frac_coords": [[0.000, 0.500, 0.273], [0.000, 0.000, 0.000], [0.500, 0.500, 0.000], [0.500, 0.000, 0.254], [0.000, 0.500, 0.746], [0.500, 0.000, 0.727]], "delta_e_f_ev_per_atom": 0.0280, "n_ef_per_ev_cell": 4.84, "spacegroup": "P4/nmm (129)"}



Record 2
{"formula": "Fe2CuW", "functional": "PBE-GGA", "state": "optimized geometry", "lattice_angstrom": [[2.587, -0.015, 0.000], [-0.743, 2.478, 0.000], [0.000, 0.000, 8.190]], "species": ["Fe", "W", "Fe", "Cu"], "frac_coords": [[0.500, 0.500, 0.237], [0.000, 0.000, 0.494], [0.000, 0.000, 0.006], [0.500, 0.500, 0.763]], "delta_e_f_ev_per_atom": 0.2014, "n_ef_per_ev_cell": 3.30, "spacegroup": "Cmm2 (35)"}



Record 3
{"formula": "AlGaSbTe", "functional": "PBE-GGA", "state": "optimized geometry", "lattice_angstrom": [[-0.669, 2.728, -3.211], [-3.583, 2.314, -0.121], [3.434, 5.516, 3.978]], "species": ["Sb", "Al", "Ga", "Te"], "frac_coords": [[0.906, 0.906, 0.641], [0.239, 0.239, 0.190], [0.239, 0.239, 0.521], [0.572, 0.572, 0.032]], "raw_formation_energy_ev_per_atom": -0.108, "n_ef_per_ev_cell": 1.72, "spacegroup": "P3m1 (156)"}



Record 4
{"formula": "Ho2CdSb", "functional": "PBE-GGA", "state": "optimized geometry", "lattice_angstrom": [[4.194, 0.000, 0.000], [2.097, 3.632, 0.000], [2.097, 1.211, 7.744]], "species": ["Sb", "Cd", "Ho", "Ho"], "frac_coords": [[0.000, 0.000, 0.000], [0.500, 0.500, 0.500], [0.256, 0.256, 0.233], [0.744, 0.744, 0.767]], "raw_formation_energy_ev_per_atom": -0.529, "n_ef_per_ev_cell": 3.80, "spacegroup": "R-3m (166)"}



Record 5
{"formula": "Nd2Th2N5", "functional": "PBE-GGA", "state": "optimized geometry", "lattice_angstrom": [[-2.931, -0.599, -6.181], [-5.227, -3.336, 2.802], [-0.312, 6.983, -0.529]], "species": ["Th", "N", "Th", "N", "N", "N", "N", "N", "Nd", "N", "Nd", "Th", "N", "Nd", "Nd", "Th", "N", "N"], "frac_coords": [[0.336, 0.164, 0.000], [0.500, 0.500, 0.000], [0.664, 0.836, 0.000], [0.151, 0.207, 0.737], [0.151, 0.470, 0.263], [0.349, 0.707, 0.737], [0.849, 0.793, 0.263], [0.651, 0.030, 0.737], [0.000, 0.206, 0.413], [0.000, 0.000, 0.000], [0.000, 0.794, 0.587], [0.164, 0.664, 0.000], [0.349, 0.970, 0.263], [0.500, 0.294, 0.587], [0.500, 0.706, 0.413], [0.836, 0.336, 0.000], [0.651, 0.293, 0.263], [0.849, 0.530, 0.737]], "raw_formation_energy_ev_per_atom": -1.255, "n_ef_per_ev_cell": 13.69, "spacegroup": "Cmce (64)"}



Record 6
{"formula": "K4La3AlO8", "functional": "PBE-GGA", "state": "optimized geometry", "lattice_angstrom": [[7.017, 0.000, 0.000], [0.000, 7.417, 0.247], [-3.508, -3.525, 5.374]], "species": ["La", "O", "K", "O", "La", "O", "O", "K", "K", "O", "K", "Al", "O", "O", "La", "O"], "frac_coords": [[0.500, 0.500, 0.000], [0.221, 0.343, 0.044], [0.500, 0.000, 0.500], [0.719, 0.692, 0.438], [0.000, 0.500, 0.500], [0.823, 0.343, 0.044], [0.271, 0.732, 0.543], [0.500, 0.000, 0.000], [0.000, 0.000, 0.000], [0.779, 0.657, 0.956], [0.000, 0.000, 0.500], [0.000, 0.500, 0.000], [0.177, 0.657, 0.956], [0.729, 0.268, 0.457], [0.500, 0.500, 0.500], [0.281, 0.308, 0.562]], "raw_formation_energy_ev_per_atom": -2.450, "n_ef_per_ev_cell": 0.00, "spacegroup": "C2/m (12)"}



Record 7
{"formula": "TlAsP", "functional": "PBE-GGA", "state": "optimized geometry", "lattice_angstrom": [[-0.013, -2.342, 4.128], [-1.249, -4.577, 0.128], [3.273, -3.330, 0.850]], "species": ["As", "Tl", "P"], "frac_coords": [[0.750, 0.750, 0.750], [0.500, 0.500, 0.500], [0.000, 0.000, 0.000]], "delta_e_f_ev_per_atom": 0.5777, "n_ef_per_ev_cell": 2.82, "spacegroup": "F-43m (216)"}



Record 8
{"formula": "TlAgAu2F8", "functional": "PBE-GGA", "state": "optimized geometry", "lattice_angstrom": [[-5.798, 1.889, -0.488], [-1.514, -3.389, 4.862], [4.742, 4.921, 1.058]], "species": ["Ag", "F", "F", "F", "F", "F", "Tl", "F", "F", "Au", "Au", "F"], "frac_coords": [[0.000, 0.000, 0.000], [0.157, 0.434, 0.487], [0.338, 0.223, 0.009], [0.671, 0.786, 0.009], [0.566, 0.670, 0.513], [0.330, 0.052, 0.487], [0.750, 0.250, 0.500], [0.777, 0.329, 0.991], [0.214, 0.662, 0.991], [0.500, 0.500, 0.000], [0.250, 0.750, 0.500], [0.948, 0.843, 0.513]], "raw_formation_energy_ev_per_atom": -1.220, "spacegroup": "I-4 (82)"}